1.
The following is a DFT calculation (PBE) of Ho5Cu4Ru after structural relaxation.

Output
**Theoretical density**: 9.626 g cm⁻³
**Magnetic moment**: 0.00 μB per formula unit
**Formation energy**: -0.310 eV per atom

Cell lengths 3.424, 3.424, 17.358 Å; angles 90.00, 90.00, 90.00 degrees
Sites, in units of the cell vectors:
Ho 0.500 0.500 0.096
Ho 0.500 0.500 0.298
Ho 0.500 0.500 0.500
Ho 0.500 0.500 0.702
Ho 0.500 0.500 0.904
Cu 0.000 0.000 0.199
Cu 0.000 0.000 0.400
Cu 0.000 0.000 0.600
Cu 0.000 0.000 0.801
Ru 0.000 0.000 0.000

---

2.
The following is a DFT calculation (PBE) of GeTeAu after structural relaxation.

Output
**Theoretical density**: 7.786 g cm⁻³
**Energy relative to the elements, uncorrected**: -0.01 eV per atom
**Magnetic moment**: 0.00 μB per formula unit

Cell lengths 4.551, 5.639, 6.885 Å; angles 102.94, 85.99, 81.66 degrees
Sites, in units of the cell vectors:
Te 0.262 0.833 0.052
Te 0.694 0.415 0.436
Au 0.221 0.176 0.542
Au 0.839 0.545 0.085
Ge 0.538 0.867 0.692
Ge 0.915 0.126 0.847

---

3.
The following is a DFT calculation (PBE) of PuThSe2 after structural relaxation.

Output
**Theoretical density**: 10.303 g cm⁻³
**Polymorph energy (0 for the lowest one)**: 0.0 meV/atom
**Energy relative to the elements, uncorrected**: -1.55 eV per atom
**Magnetic moment**: 5.58 μB per formula unit

Cell lengths 4.129, 4.129, 7.319 Å; angles 73.62, 73.62, 60.00 degrees
Site moments in Bohr magnetons follow the coordinates.
Sites, in units of the cell vectors:
Pu 0.000 0.000 0.000  5.39
Th 0.500 0.500 0.500  -0.03
Se 0.253 0.253 0.240  -0.05
Se 0.747 0.747 0.760  -0.05

---

4.
The following is a DFT calculation (PBE) of Tb6Nd2Dy3Mg after structural relaxation.

Output
**Theoretical density**: 7.670 g cm⁻³
**Magnetic moment**: 0.00 μB per formula unit
**Formation energy**: 0.018 eV per atom

Cell lengths 6.149, 6.149, 11.781 Å; angles 95.01, 95.01, 120.03 degrees
Sites, in units of the cell vectors:
Tb 0.916 0.585 0.748
Tb 0.752 0.752 0.253
Tb 0.084 0.415 0.252
Tb 0.585 0.916 0.748
Tb 0.248 0.248 0.747
Tb 0.415 0.084 0.252
Nd 0.333 0.667 0.000
Nd 0.667 0.333 0.000
Dy 0.166 0.834 0.500
Dy 0.834 0.166 0.500
Dy 0.500 0.500 0.500
Mg 0.000 0.000 0.000